Cr2Fe after structural relaxation. Source: the Alexandria database, functional PBE.

## Properties
symmetry = I4/mcm (140)
ρ = 7.6 g cm⁻³

Unit cell a=4.5158 b=4.5158 c=4.5158 alpha=104.99 beta=104.99 gamma=118.86
Positions (direct):
Cr  0.3493  0.1507  0.5000
Cr  0.8493  0.3493  0.1985
Cr  0.1507  0.6507  0.8015
Cr  0.6507  0.8493  0.5000
Fe  0.2500  0.2500  0.0000
Fe  0.7500  0.7500  0.0000

HfScCr after structural relaxation. Source: the Alexandria database, functional PBE.

## Properties
polymorph energy (0 for the lowest one) = 0.31 eV per formula unit
symmetry = R-3m (166)
ρ = 8.0 g cm⁻³

Unit cell a=5.5181 b=5.5181 c=13.3964 alpha=78.11 beta=78.11 gamma=60.00
Each line ends with the local moment (μB).
Positions (direct):
Hf  0.7232  0.7232  0.8304  0.02
Hf  0.2768  0.2768  0.1696  0.02
Hf  0.0354  0.0354  0.8938  0.01
Hf  0.9646  0.9646  0.1062  0.01
Hf  0.1786  0.1786  0.4641  -0.48
Hf  0.8214  0.8214  0.5359  -0.48
Sc  0.2282  0.7269  0.3181  -0.04
Sc  0.7269  0.2282  0.3181  -0.04
Sc  0.7269  0.7269  0.3181  -0.04
Sc  0.7718  0.2731  0.6819  -0.04
Sc  0.2731  0.7718  0.6819  -0.04
Sc  0.2731  0.2731  0.6819  -0.04
Cr  0.3766  0.3766  0.8702  0.88
Cr  0.6234  0.6234  0.1298  0.88
Cr  0.0000  0.5000  0.0000  -0.36
Cr  0.5000  0.0000  0.0000  -0.36
Cr  0.5000  0.5000  0.0000  -0.36
Cr  0.5000  0.5000  0.5000  2.70

no.,DFT formation energy (eV per formula unit)
1,0.6
2,0.9